Compound: SrPmSn2
Source: Alexandria via LeMat-Bulk
Functional: PBE
Structure: optimized geometry

Output
The formation enthalpy at 0 K is -0.561 eV per atom.

Cell: 5.818 5.818 3.620 Å, 90.00 90.00 90.00°
Space group P4/mmm (No. 123)
Unique sites:
Sr  0.000  0.000  0.000 x1
Pm  0.500  0.500  0.000 x1
Sn  0.000  0.500  0.500 x2


Compound: Dy4TePb2Se
Source: Alexandria via LeMat-Bulk
Functional: PBE
Structure: optimized geometry

Output
For the formation energy without anion corrections, the calculation gives -1.000 eV per atom.

Cell: 7.547 4.330 7.548 Å, 90.00 109.25 90.00°
Space group P2/m (No. 10)
Unique sites:
Dy  0.246  0.000  0.241 x2
Dy  0.252  0.500  0.758 x2
Te  0.000  0.000  0.500 x1
Pb  0.500  0.000  0.000 x1
Pb  0.500  0.500  0.500 x1
Se  0.000  0.500  0.000 x1


Compound: Ho3MnTl4S8
Source: Alexandria via LeMat-Bulk
Functional: PBE
Structure: optimized geometry

Output
For the formation energy without anion corrections, the calculation gives -1.192 eV per atom.

Cell: 7.8671 7.8671 22.3656 Å, 90.00 90.00 120.00°
Space group R-3m (No. 166, hexagonal axes)
Unique sites:
Ho  0.0000  0.5000  0.0000 x9
Mn  0.0000  0.0000  0.0000 x3
Tl  0.0000  0.0000  0.5000 x3
Tl  0.0000  0.5000  0.5000 x9
S  0.0000  0.0000  0.2666 x6
S  0.0182  0.5091  0.7306 x18


Compound: CrTcTe
Source: Alexandria via LeMat-Bulk
Functional: PBE
Structure: optimized geometry

Output
The value obtained for the relative energy among the computed polymorphs is 165 meV per atom. For the formation energy without anion corrections, the calculation gives 0.154 eV per atom.

Cell: 3.186 3.186 11.061 Å, 90.00 90.00 90.00°
Space group P4mm (No. 99)
Unique sites:
Cr  0.000  0.000  0.000 x1
Cr  0.500  0.500  0.104 x1
Tc  0.000  0.000  0.223 x1
Tc  0.500  0.500  0.370 x1
Te  0.000  0.000  0.513 x1
Te  0.500  0.500  0.857 x1


Compound: HoPaNiOs
Source: Alexandria via LeMat-Bulk
Functional: PBE
Structure: optimized geometry

Output
The formation enthalpy at 0 K is -0.267 eV per atom.

Cell: 6.808 6.808 6.808 Å, 90.00 90.00 90.00°
Space group F-43m (No. 216)
Unique sites:
Ho  0.000  0.000  0.000 x4
Pa  0.000  0.000  0.500 x4
Ni  0.250  0.250  0.750 x4
Os  0.250  0.250  0.250 x4


Compound: AsIr2Pb
Source: Alexandria via LeMat-Bulk
Functional: PBE
Structure: optimized geometry

Output
The value obtained for the relative energy among the computed polymorphs is 424 meV per atom. The formation enthalpy at 0 K is 0.507 eV per atom.

Cell: 4.386 4.386 7.344 Å, 90.00 90.00 90.00°
Space group I4/mmm (No. 139)
Unique sites:
As  0.000  0.000  0.000 x2
Ir  0.000  0.500  0.250 x4
Pb  0.000  0.000  0.500 x2


| no. | E_tot (eV/atom) |
| --- | --- |
| 1 | -4.170 |
| 2 | -5.057 |
| 3 | -5.279 |
| 4 | -7.556 |
| 5 | -8.038 |
| 6 | -6.013 |